#w
First-principles (PBEsol) data for a relaxed structure of Li2TcIr, as listed in the Alexandria database.

abc: 2.664 4.446 4.862
angles: 101.64 105.90 90.00
Fractional coordinates of all 4 atoms:
Tc  0.500  0.000  0.000
Li  0.255  0.255  0.510
Li  0.745  0.745  0.490
Ir  0.000  0.500  0.000

Computed properties:
Symmetry: No. 12

#x
First-principles (PBEsol) data for a relaxed structure of Li2TcIr, as listed in the Alexandria database.

abc: 2.665 3.921 5.422
angles: 90.00 90.00 90.00
Fractional coordinates of all 4 atoms:
Li  0.000  0.000  0.014
Li  0.500  0.500  0.230
Ir  0.500  0.500  0.715
Tc  0.000  0.000  0.542

Computed properties:
Symmetry: No. 25

If you had to name the least stable structure above, which would it be? It would be #w.